No. 1
4
Lattice="3.869 0.000 0.000 0.000 3.761 0.006 0.000 3.726 8.332" Properties=species:S:1:pos:R:3 comment="PBE-GGA KYHg2, optimized geometry" spacegroup="P2/m (10)" de_polymorph_mev_per_atom=0 pbc="T T T"
Hg 0.000 3.739 4.564
Hg 0.000 3.731 7.937
Y 1.935 5.615 6.254
K 1.935 1.872 2.085


No. 2
6
Lattice="3.757 0.000 0.000 0.000 3.757 0.000 0.000 0.000 12.196" Properties=species:S:1:pos:R:3 comment="PBE-GGA KY2Hg3, optimized geometry" spacegroup="P4/mmm (123)" pbc="T T T"
K 1.879 1.879 6.098
Y 1.879 1.879 10.322
Y 1.879 1.879 1.874
Hg 0.000 0.000 3.558
Hg 0.000 0.000 8.638
Hg 0.000 0.000 0.000


No. 3
4
Lattice="5.601 0.000 0.000 0.000 3.631 0.002 0.000 -0.001 5.603" Properties=species:S:1:pos:R:3 comment="PBE-GGA KYHg2, optimized geometry" spacegroup="Pmm2 (25)" de_polymorph_mev_per_atom=33 pbc="T T T"
Hg 2.801 0.455 2.106
Hg 0.000 0.451 4.900
Y 2.801 2.268 4.905
K 0.000 2.270 2.099


No. 4
4
Lattice="-2.996 -3.128 2.991 -3.027 -3.675 -2.244 1.218 -5.094 0.526" Properties=species:S:1:pos:R:3 comment="PBE-GGA KYHg2, optimized geometry" spacegroup="F-43m (216)" de_polymorph_mev_per_atom=316 pbc="T T T"
K -2.403 -5.948 0.637
Y -3.604 -8.923 0.955
Hg 0.000 0.000 0.000
Hg -1.201 -2.974 0.318


No. 5
4
Lattice="0.059 -5.134 1.813 -3.843 -3.503 -1.617 1.276 -4.069 -3.386" Properties=species:S:1:pos:R:3 comment="PBE-GGA KYHg2, optimized geometry" spacegroup="Fm-3m (225)" de_polymorph_mev_per_atom=144 pbc="T T T"
Y -1.254 -6.353 -1.595
K 0.000 0.000 0.000
Hg -1.881 -9.529 -2.393
Hg -0.627 -3.176 -0.798


No. 6
4
Lattice="6.745 -0.030 -0.016 3.587 5.712 0.016 -4.548 -3.965 3.015" Properties=species:S:1:pos:R:3 comment="PBE-GGA KYHg2, optimized geometry" spacegroup="Imm2 (44)" de_polymorph_mev_per_atom=156 pbc="T T T"
K 5.277 2.902 0.000
Hg 10.284 5.656 0.000
Hg 3.945 -0.432 1.500
Y 1.775 2.114 1.516


No. 7
4
Lattice="9.722 -0.093 -0.055 8.925 3.857 -0.055 8.925 1.801 3.411" Properties=species:S:1:pos:R:3 comment="PBE-GGA KYHg2, optimized geometry" spacegroup="R-3m (166)" de_polymorph_mev_per_atom=106 pbc="T T T"
Hg 0.341 0.069 0.041
Hg 13.445 2.714 1.609
K 6.893 1.391 0.825
Y 20.679 4.174 2.475


No. 8
5
Lattice="1.063 1.318 4.453 6.180 -2.162 1.706 5.447 4.013 0.054" Properties=species:S:1:pos:R:3 comment="PBE-GGA K2ZnHg2, optimized geometry" spacegroup="Immm (71)" de_polymorph_mev_per_atom=0 pbc="T T T"
Zn 3.622 -0.422 3.080
Hg 9.782 2.720 5.770
Hg 2.908 0.448 0.444
K 5.321 2.770 1.729
K 7.369 0.399 4.485


No. 9
3
Lattice="-3.791 -2.658 3.056 0.918 -0.891 5.398 -2.933 2.771 3.807" Properties=species:S:1:pos:R:3 comment="PBE-GGA KZnHg, optimized geometry" spacegroup="F-43m (216)" de_polymorph_mev_per_atom=251 pbc="T T T"
Zn 0.000 0.000 0.000
K -4.355 -0.583 9.196
Hg -2.903 -0.389 6.131


No. 10
7
Lattice="-1.638 2.752 5.689 -4.197 -4.868 1.146 9.051 -3.317 0.465" Properties=species:S:1:pos:R:3 comment="PBE-GGA K4ZnHg2, optimized geometry" spacegroup="I4/mmm (139)" pbc="T T T"
K -0.819 1.376 2.844
K 0.723 -3.654 5.721
K 2.494 -1.778 1.578
K -2.098 -2.434 0.573
Hg 4.999 -3.565 3.164
Hg -1.782 -1.867 4.136
Zn 0.000 0.000 0.000


No. 11
4
Lattice="-4.149 0.415 3.977 1.138 -1.300 5.497 0.215 4.177 3.963" Properties=species:S:1:pos:R:3 comment="PBE-GGA K2ZnHg, optimized geometry" spacegroup="F-43m (216)" de_polymorph_mev_per_atom=122 pbc="T T T"
K 0.000 0.000 0.000
K -0.699 0.823 3.359
Hg -1.398 1.646 6.718
Zn -2.098 2.469 10.077


No. 12
10
Lattice="7.296 0.000 0.000 0.000 7.296 0.000 0.000 0.000 5.707" Properties=species:S:1:pos:R:3 comment="PBE-GGA K2Zn2Hg, optimized geometry" spacegroup="P4/mbm (127)" de_polymorph_mev_per_atom=17 pbc="T T T"
Zn 2.726 6.374 0.000
Zn 0.922 2.726 0.000
Zn 4.571 0.922 0.000
Zn 6.374 4.571 0.000
K 2.305 1.343 2.854
K 1.343 4.992 2.854
K 4.992 5.953 2.854
K 5.953 2.305 2.854
Hg 3.648 3.648 0.000
Hg 0.000 0.000 0.000


No. 13
8
Lattice="9.450 0.000 0.000 0.000 9.450 0.000 4.725 4.725 3.466" Properties=species:S:1:pos:R:3 comment="PBE-GGA K2ZnHg, optimized geometry" spacegroup="I-42d (122)" de_polymorph_mev_per_atom=179 pbc="T T T"
Zn 4.725 9.450 1.733
Zn 4.725 4.725 0.000
K 2.417 7.088 0.867
K 7.088 7.142 2.600
K 11.813 11.758 2.600
K 7.033 2.363 0.867
Hg 9.450 4.725 1.733
Hg 0.000 0.000 0.000


No. 14
10
Lattice="8.681 0.000 0.000 0.000 8.681 0.000 0.000 0.000 3.317" Properties=species:S:1:pos:R:3 comment="PBE-GGA KZn2Hg2, optimized geometry" spacegroup="P4/mbm (127)" de_polymorph_mev_per_atom=112 pbc="T T T"
K 0.000 0.000 0.000
K 4.341 4.341 0.000
Hg 7.451 5.571 0.000
Hg 1.231 3.110 0.000
Hg 5.571 1.231 0.000
Hg 3.110 7.451 0.000
Zn 1.312 5.653 1.659
Zn 7.369 3.028 1.659
Zn 5.653 7.369 1.659
Zn 3.028 1.312 1.659


Number 1: final energy -2.33 eV per atom, formation enthalpy at 0 K -28.3 kJ per mole of atoms. Number 2: final energy -2.88 eV per atom, formation enthalpy at 0 K -37.4 kJ per mole of atoms. Number 3: final energy -2.30 eV per atom, formation enthalpy at 0 K -25.1 kJ per mole of atoms. Number 4: final energy -2.02 eV per atom, formation enthalpy at 0 K 2.2 kJ per mole of atoms. Number 5: final energy -2.19 eV per atom, formation enthalpy at 0 K -14.4 kJ per mole of atoms. Number 6: final energy -2.18 eV per atom, formation enthalpy at 0 K -13.2 kJ per mole of atoms. Number 7: final energy -2.23 eV per atom, formation enthalpy at 0 K -18.0 kJ per mole of atoms. Number 8: final energy -0.97 eV per atom, formation enthalpy at 0 K -15.0 kJ per mole of atoms. Number 9: final energy -0.71 eV per atom, formation enthalpy at 0 K 17.3 kJ per mole of atoms. Number 10: final energy -0.88 eV per atom, formation enthalpy at 0 K 1.1 kJ per mole of atoms. Number 11: final energy -0.91 eV per atom, formation enthalpy at 0 K 3.4 kJ per mole of atoms. Number 12: final energy -0.99 eV per atom, formation enthalpy at 0 K 1.9 kJ per mole of atoms. Number 13: final energy -0.85 eV per atom, formation enthalpy at 0 K 8.8 kJ per mole of atoms. Number 14: final energy -0.81 eV per atom, formation enthalpy at 0 K 3.9 kJ per mole of atoms.